(1)
Crystalline ZnCr2Cd at its relaxed geometry, computed with PBE-GGA.

## Properties
Space-group type: P4mm (99)
Energy above the most stable polymorph in this dataset, eV per atom: 0.000
Magnetic moment, μB per atom: 0.058

Cell: 3.0406 3.0464 7.2666 Å, 65.20 90.00 90.00°
With the nearest neighbours (Å) after each atom.
Sites, in units of the cell vectors:
Cr (0.0000, 0.9420, 0.0580)  4 Cr 2.40
Cr (0.5000, 0.2798, 0.2199)  4 Cr 2.40
Zn (0.0000, 0.5334, 0.4665)  5 Cr 2.69-2.70, 4 Cd 2.87-2.88
Cd (0.5000, 0.7448, 0.7556)  4 Zn 2.87-2.88, 5 Cr 2.93-3.06, 4 Cd 3.04-3.05


(2)
Crystalline ZnCr2Cd at its relaxed geometry, computed with PBE-GGA.

## Properties
Space-group type: P4/mmm (123)
Energy above the most stable polymorph in this dataset, eV per atom: 0.318
Magnetic moment, μB per atom: 0.000

Cell: 2.5996 2.5996 8.4706 Å, 90.00 90.00 90.00°
With the nearest neighbours (Å) after each atom.
Sites, in units of the cell vectors:
Cr (0.0000, 0.0000, 0.0179)  4 Cr 2.60, 4 Zn 2.69
Cr (0.0000, 0.0000, 0.4821)  4 Cr 2.60, 4 Zn 2.69
Cd (0.5000, 0.5000, 0.7500)  4 Cd 2.60
Zn (0.5000, 0.5000, 0.2500)  4 Zn 2.60, 8 Cr 2.69


(3)
Crystalline ZnCr2Cd at its relaxed geometry, computed with PBE-GGA.

## Properties
Space-group type: I-4m2 (119)
Energy above the most stable polymorph in this dataset, eV per atom: 0.135
Magnetic moment, μB per atom: 0.024

Cell: 4.9112 4.9112 4.9112 Å, 131.84 131.84 70.48°
With the nearest neighbours (Å) after each atom.
Sites, in units of the cell vectors:
Cr (0.0000, 0.0000, 0.0000)  4 Zn 2.83, 4 Cr 2.84, 4 Cd 2.84
Cr (0.2500, 0.7500, 0.5000)  4 Cd 2.83, 4 Cr 2.84, 4 Zn 2.84
Zn (0.5000, 0.5000, 0.0000)  8 Cr 2.83-2.84, 4 Cd 2.84
Cd (0.7500, 0.2500, 0.5000)  8 Cr 2.83-2.84, 4 Zn 2.84


(4)
Crystalline ZnCr2Cd at its relaxed geometry, computed with PBE-GGA.

## Properties
Space-group type: Cmm2 (35)
Energy above the most stable polymorph in this dataset, eV per atom: 0.084
Magnetic moment, μB per atom: 0.000

Cell: 2.7128 2.7128 8.8954 Å, 90.00 90.00 113.98°
With the nearest neighbours (Å) after each atom.
Sites, in units of the cell vectors:
Zn (0.0000, 0.0000, 0.4699)  2 Cr 2.61, 4 Zn 2.71
Cr (0.5000, 0.5000, 0.2278)  2 Cr 2.23
Cr (0.0000, 0.0000, 0.0400)  2 Cr 2.23
Cd (0.5000, 0.5000, 0.7623)  6 Cd 2.71-2.96, 2 Cr 2.88, 2 Zn 2.99